A plane-wave DFT calculation with GGA-PBE was carried out for crystalline Rb3U2RhSe6 at its relaxed geometry.

Geometry as extended XYZ:
```
12
Lattice="-3.5053 2.4438 -5.6970 -3.4566 -1.0117 6.1435 4.0161 7.0674 2.0460" Properties=species:S:1:pos:R:3 pbc="T T T"
Rh 0.0000 0.0000 0.0000
Se 1.4484 6.0856 1.7700
Se -2.1556 7.3851 0.0940
Se -0.7901 1.1143 2.3985
Se -4.3942 2.4138 0.7225
Se -2.1399 6.2717 3.9092
Se -0.8058 2.2277 -1.4167
Rb -1.4729 4.2497 1.2463
Rb -1.4891 5.3997 -2.6944
Rb -1.4567 3.0996 5.1870
U -3.4728 0.1403 2.1961
U -3.4890 1.2917 -1.7495
```

Fermi-level density of states (states/eV/cell): 14.852
Final energy (eV/atom): -5.48
Size of the total moment (μB/atom): 0.501
Density (g/cm3): 6.16
Energy relative to the elements, uncorrected (eV per atom): -0.998

=====

A plane-wave DFT calculation with GGA-PBE was carried out for crystalline Ca2HfMo at its relaxed geometry.

Geometry as extended XYZ:
```
4
Lattice="0.0000 3.7127 3.7127 3.7127 0.0000 3.7127 3.7127 3.7127 0.0000" Properties=species:S:1:pos:R:3 pbc="T T T"
Ca 1.8563 1.8563 1.8563
Ca 5.5690 5.5690 5.5690
Hf 3.7127 3.7127 3.7127
Mo 0.0000 0.0000 0.0000
```

Fermi-level density of states (states/eV/cell): 4.978
E_form (meV/atom): 1005.1
ΔE to the lowest computed polymorph (meV per atom): 0.0
Final energy (eV/atom): -5.19
Size of the total moment (μB/atom): 0.407
Density (g/cm3): 5.75

=====

A plane-wave DFT calculation with GGA-PBE was carried out for crystalline LaCeHgBr at its relaxed geometry.

Geometry as extended XYZ:
```
4
Lattice="-3.1951 2.1206 -3.8337 -2.1946 -3.2084 -3.7805 -5.3292 -1.0000 0.0536" Properties=species:S:1:pos:R:3 pbc="T T T"
Ce 0.0000 0.0000 0.0000
La -5.3595 -1.0439 -3.7803
Br -2.6797 -0.5219 -1.8902
Hg -8.0392 -1.5658 -5.6705
```

Fermi-level density of states (states/eV/cell): 9.986
Final energy (eV/atom): -3.81
Size of the total moment (μB/atom): 0.437
Density (g/cm3): 8.24
Energy relative to the elements, uncorrected (eV per atom): -0.600

=====

A plane-wave DFT calculation with GGA-PBE was carried out for crystalline CrTcHgPb2 at its relaxed geometry.

Geometry as extended XYZ:
```
5
Lattice="-4.9064 0.3970 2.1054 1.8137 -0.6353 4.3464 0.6445 5.2909 0.5043" Properties=species:S:1:pos:R:3 pbc="T T T"
Cr 0.9069 -0.3176 2.1732
Tc 0.0000 0.0000 0.0000
Pb -2.4532 0.1985 1.0527
Pb 0.3223 2.6455 0.2522
Hg -1.2241 2.5263 3.4781
```

Fermi-level density of states (states/eV/cell): 2.438
E_form (meV/atom): 615.0
Final energy (eV/atom): -4.93
Size of the total moment (μB/atom): 0.661
Density (g/cm3): 9.33

=====

Question: Which formula does entry 1 have?
Answer: Rb3U2RhSe6

=====

Question: Look up the density of the third one.
Answer: 8.24 g/cm3

=====

Question: density of number 3 (LaCeHgBr)?
Answer: 8.24 g/cm3